VASP calculation (PBE) on a geometry-optimized Sr2TmUN4 structure.

a = 6.0375 Å, b = 3.5785 Å, c = 6.3054 Å
α = 90.00°, β = 108.48°, γ = 90.00°
Closest atoms and distances in Å follow each position.
Positions (direct):
1 Sr 0.0000 0.0000 0.0000  6 N 2.75-2.81
2 Sr 0.5000 0.5000 0.0000  6 N 2.65-2.69
3 Tm 0.0000 0.5000 0.5000  6 N 2.39-2.44
4 U 0.5000 0.0000 0.5000  6 N 2.21-2.35
5 N 0.2564 0.0000 0.6981  1 U 2.21, 2 Tm 2.44
6 N 0.2773 0.5000 0.3005  2 U 2.35, 1 Tm 2.39
7 N 0.7227 0.5000 0.6995  2 U 2.35, 1 Tm 2.39
8 N 0.7436 0.0000 0.3019  1 U 2.21, 2 Tm 2.44

The size of the total moment is 0.9 Bohr magnetons per cell. The calculation puts the uncorrected energy at -7.846 eV per atom.